No. 1
The following is a PBE calculation of a geometry-optimized Er3In4Co2 structure, from the Alexandria database.

The value obtained for the total moment is 0.630 Bohr magnetons per cell. For the formation enthalpy at 0 K, the calculation gives -0.38 eV per atom. The energy relative to the lowest polymorph listed for this composition comes out at 0.00 eV per formula unit. The calculation puts the density of states at the Fermi level at 5.84 states/eV per cell. The calculation puts the total energy at -42.27 eV per cell.

The space group is P-6 (No. 174) and the conventional cell measures 7.8863, 7.8863 and 3.5676 Å, with angles of 90.00, 90.00 and 120.00 degrees. The inequivalent atoms are Er at (0.0435, 0.6227, 0.0000), In at (0.2569, 0.0041, 0.5000), In at (0.6667, 0.3333, 0.5000), Co at (0.0000, 0.0000, 0.0000) and Co at (0.3333, 0.6667, 0.5000).


No. 2
The following is a PBE calculation of a geometry-optimized MgBiH structure, from the Alexandria database.

The value obtained for the total moment is 0.000 Bohr magnetons per cell. The energy relative to the lowest polymorph listed for this composition comes out at 0.46 eV per formula unit. The calculation puts the density of states at the Fermi level at 1.25 states/eV per cell. The calculation puts the total energy at -34.31 eV per cell.

The space group is Pnma (No. 62) and the conventional cell measures 5.943, 6.134 and 6.735 Å, with angles of 90.00, 90.00 and 90.00 degrees. The inequivalent atoms are Mg at (0.210, 0.250, 0.130), Bi at (0.223, 0.750, 0.124) and H at (0.038, 0.250, 0.382).


No. 3
The following is a PBE calculation of a geometry-optimized TbScTlSn structure, from the Alexandria database.

The value obtained for the total moment is 0.000 Bohr magnetons per cell. For the formation enthalpy at 0 K, the calculation gives -0.40 eV per atom. The calculation puts the density of states at the Fermi level at 15.59 states/eV per cell. The calculation puts the total energy at -75.70 eV per cell.

The space group is F-43m (No. 216) and the conventional cell measures 7.411, 7.411 and 7.411 Å, with angles of 90.00, 90.00 and 90.00 degrees. The inequivalent atoms are Tb at (0.000, 0.000, 0.000), Sc at (0.000, 0.000, 0.500), Tl at (0.250, 0.250, 0.750) and Sn at (0.250, 0.250, 0.250).